Here is an optimized crystal structure of CeFePtO6 from Alexandria. Energies are from PBE with a Hubbard U.

Structure (POSCAR):
```
CeFePtO6
1.0
4.848 0.000 0.000
0.000 4.848 0.000
0.000 0.000 9.735
Ce Fe Pt O
2 2 2 12
Direct
0.000 0.000 0.000 Ce
0.500 0.500 0.500 Ce
0.000 0.000 0.664 Fe
0.500 0.500 0.164 Fe
0.000 0.000 0.328 Pt
0.500 0.500 0.828 Pt
0.177 0.177 0.493 O
0.205 0.205 0.178 O
0.209 0.209 0.819 O
0.291 0.709 0.319 O
0.295 0.705 0.678 O
0.323 0.677 0.993 O
0.677 0.323 0.993 O
0.705 0.295 0.678 O
0.709 0.291 0.319 O
0.791 0.791 0.819 O
0.795 0.795 0.178 O
0.823 0.823 0.493 O
```

Space-group type   P4_2nm
DFT total energy   -123.22 eV per cell